First-principles (GGA+U) data for crystalline LaNiP2O at its relaxed geometry, as listed in Alexandria.

Cell lengths 5.717, 5.717, 4.123 Å; angles 90.00, 90.00, 90.00 degrees
Element x y z (fractional)
La  0.000  0.000  0.000
Ni  0.500  0.500  0.500
P  0.000  0.500  0.000
P  0.500  0.000  0.000
O  0.000  0.000  0.500

Calculated values
- Total energy: -3.89 eV per atom
- Energy above the lowest structure with this stoichiometry: 604.2 kJ/mol of formula units
- Volume: 135 Å³ per cell